Record 1
VASP calculation (GGA-PBE) on LiLaGdNi after structural relaxation.

POSCAR file:
```
LiLaGdNi
1.0
-0.2222 -4.9858 -0.9402
2.8795 -2.0245 -3.6608
3.9208 -2.9904 1.2151
La Gd Li Ni
1 1 1 1
Direct
0.5000 0.5000 0.5000
0.0000 0.0000 0.0000
0.7500 0.7500 0.7500
0.2500 0.2500 0.2500
```

***

Record 2
VASP calculation (GGA-PBE) on Y8Ho5Tm after structural relaxation.

POSCAR file:
```
Y8Ho5Tm
1.0
-5.5240 -3.2085 -5.4974
0.6026 -4.8755 6.8480
-2.7922 7.6906 2.0219
Y Ho Tm
8 5 1
Direct
0.0832 0.7479 0.4769
0.5231 0.6063 0.2710
0.7290 0.2521 0.3353
0.3388 0.2608 0.4270
0.1663 0.7392 0.0780
0.6647 0.3937 0.9168
0.9220 0.0883 0.6612
0.5730 0.9117 0.8337
0.5000 0.0000 0.5000
0.8155 0.6792 0.7133
0.8637 0.8978 0.1845
0.2867 0.1022 0.9659
0.0341 0.3208 0.1363
0.2500 0.5000 0.7500
```

***

Record 3
VASP calculation (GGA-PBE) on Tb7Pm2Ho3 after structural relaxation.

POSCAR file:
```
Tb7Pm2Ho3
1.0
3.5219 0.0000 0.0000
0.0000 6.2946 0.7937
0.0000 2.2782 17.7863
Ho Pm Tb
3 2 7
Direct
0.0000 0.1105 0.3419
0.5000 0.5000 0.0000
0.0000 0.8895 0.6581
0.5000 0.3865 0.6724
0.5000 0.6135 0.3276
0.5000 0.2418 0.5017
0.5000 0.9390 0.8325
0.0000 0.4378 0.8361
0.0000 0.0000 0.0000
0.5000 0.0610 0.1675
0.5000 0.7582 0.4983
0.0000 0.5622 0.1639
```

Output
* distance to the lowest polymorph of the same formula: 0 meV per atom

***

Number 1: formation energy -0.07 eV per atom, M_tot 1.77 μB per atom, calculated total energy -26.97 eV per cell. Number 2: formation energy 0.25 eV per atom, M_tot 0.00 μB per atom, calculated total energy -75.52 eV per cell. Number 3: formation energy 0.07 eV per atom, M_tot 0.00 μB per atom, calculated total energy -54.77 eV per cell.